Record 1
8
Lattice="7.976 0.000 0.000 0.000 2.522 0.000 0.000 0.000 3.719" Properties=species:S:1:pos:R:3 comment="Fe2NiH | Alexandria | PBE | optimized geometry" m_tot_mub_per_cell=10.61 spacegroup="Imm2, No. 44" dft_energy_ev_per_atom=-6.4390 pbc="T T T"
Fe 1.393 1.261 3.141
Ni 3.988 1.261 2.989
Fe 6.583 1.261 3.141
Fe 2.595 0.000 1.281
Ni 0.000 0.000 1.129
Fe 5.381 0.000 1.281
H 0.000 1.261 2.183
H 3.988 0.000 0.323

Record 2
7
Lattice="3.687 0.000 0.000 0.000 3.687 0.000 0.000 0.000 3.687" Properties=species:S:1:pos:R:3 comment="FeNi3H3 | Alexandria | PBE | optimized geometry" m_tot_mub_per_cell=3.06 spacegroup="Pm-3m, No. 221" dft_energy_ev_per_atom=-5.1209 pbc="T T T"
Ni 0.000 1.843 0.000
Fe 1.843 1.843 1.843
Ni 1.843 0.000 0.000
H 1.843 1.843 0.000
Ni 0.000 0.000 1.843
H 1.843 0.000 1.843
H 0.000 1.843 1.843